A relaxed structure of YCrNi2C. Source: Alexandria via LeMat-Bulk, functional PBE-GGA.

Output
V ... 17.97 Å³/atom
N(E_F) ... 5.605 states/eV/f.u.
Calculated formation energy ... 1706 meV/atom

Unit cell a=4.0869 b=4.0869 c=5.3807 alpha=90.00 beta=90.00 gamma=90.00
Space group P4/mmm (No. 123)
Symmetry-distinct sites (fractional):
Y 0.0000 0.0000 0.0000 x1
Cr 0.0000 0.0000 0.5000 x1
Ni 0.0000 0.5000 0.5000 x2
C 0.5000 0.5000 0.0000 x1